No. 1
This record from the Alexandria database describes crystalline Ca2Tb3In3 at its relaxed geometry. The functional is PBE.

Space-group type = No. 71
Formation energy = -0.30 eV per atom

Lattice parameters (Å, degrees): 3.808 5.420 11.914 103.15 99.19 90.00
Sites, in units of the cell vectors:
Ca 0.269 0.769 0.538
Ca 0.731 0.231 0.462
Tb 0.382 0.382 0.763
Tb 0.618 0.618 0.237
Tb 0.500 0.000 0.000
In 0.883 0.883 0.765
In 0.000 0.500 0.000
In 0.117 0.117 0.235

=====

No. 2
This record from the Alexandria database describes crystalline La2YIr at its relaxed geometry. The functional is PBE.

Space-group type = No. 123
Offset from the most stable computed form = 400 meV per atom
Formation energy = -0.10 eV per atom

Lattice parameters (Å, degrees): 4.229 5.040 5.040 90.00 90.00 90.00
Sites, in units of the cell vectors:
Ir 0.500 0.000 0.500
La 0.000 0.000 0.000
La 0.000 0.500 0.500
Y 0.500 0.500 0.000

=====

No. 3
This record from the Alexandria database describes crystalline PrEuPdRu at its relaxed geometry. The functional is PBE.

Space-group type = No. 216
Formation energy = -0.25 eV per atom

Lattice parameters (Å, degrees): 5.045 5.045 5.045 60.00 60.00 60.00
Each line ends with the local moment (μB).
Sites, in units of the cell vectors:
Eu 0.250 0.250 0.250  6.70
Pr 0.750 0.750 0.750  0.02
Pd 0.500 0.500 0.500  -0.03
Ru 0.000 0.000 0.000  -0.23

=====

No. 4
This record from the Alexandria database describes crystalline Ag3Br at its relaxed geometry. The functional is PBE.

Space-group type = No. 123
Offset from the most stable computed form = 21 meV per atom

Lattice parameters (Å, degrees): 3.551 3.551 6.588 90.00 90.00 89.97
Sites, in units of the cell vectors:
Br 0.500 0.500 0.250
Ag 0.000 0.000 0.967
Ag 0.500 0.500 0.750
Ag 0.000 0.000 0.533

=====

No. 5
This record from the Alexandria database describes crystalline KAl2Rh at its relaxed geometry. The functional is PBE.

Space-group type = No. 166
Offset from the most stable computed form = 296 meV per atom
Formation energy = -0.04 eV per atom

Lattice parameters (Å, degrees): 9.827 9.827 9.827 18.47 18.47 18.47
Sites, in units of the cell vectors:
K 0.250 0.250 0.250
Rh 0.750 0.750 0.750
Al 0.022 0.022 0.022
Al 0.478 0.478 0.478

=====

No. 6
This record from the Alexandria database describes crystalline Th8Tc3IrSe4 at its relaxed geometry. The functional is PBE.

Space-group type = No. 12

Lattice parameters (Å, degrees): 8.237 8.760 8.237 118.04 120.00 90.00
Sites, in units of the cell vectors:
Th 0.241 0.714 0.974
Th 0.241 0.713 0.481
Th 0.261 0.283 0.522
Th 0.733 0.714 0.974
Th 0.267 0.286 0.026
Th 0.739 0.717 0.478
Th 0.759 0.287 0.519
Th 0.759 0.286 0.026
Tc 0.500 0.500 0.000
Tc 0.500 0.500 0.500
Tc 0.000 0.500 0.500
Ir 0.000 0.500 0.000
Se 0.500 0.000 0.000
Se 0.500 0.000 0.500
Se 0.000 0.000 0.000
Se 0.000 0.000 0.500

=====

Let's list calculated total energy in order: -3.559 -6.391 -7.629 -2.553 -4.025 -8.014 eV/atom.